--- A ---
A PBEsol-optimized structure of LiYSc2, computed with SCAN.

Lattice parameters (Å, degrees): 3.5775 5.1794 5.2142 90.00 90.00 90.00
Element x y z (fractional)
Li (0.0000, 0.5000, 0.5000)
Sc (0.0000, 0.0000, 0.0000)
Sc (0.5000, 0.5000, 0.0000)
Y (0.5000, 0.0000, 0.5000)

***

--- B ---
A PBEsol-optimized structure of LiYSc2, computed with SCAN.

Lattice parameters (Å, degrees): 3.4002 3.4002 8.3161 90.00 90.00 90.00
Site moments in Bohr magnetons follow the coordinates.
Element x y z (fractional)
Sc (0.0000, 0.0000, 0.9859)  0.39
Y (0.0000, 0.0000, 0.5119)  -0.29
Li (0.5000, 0.5000, 0.7676)  0.00
Sc (0.5000, 0.5000, 0.2345)  0.09

***

Which structure loses on stability? A does.

***

--- A ---
A PBEsol-optimized structure of Li2ZrSc, computed with SCAN.

Lattice parameters (Å, degrees): 4.8598 4.8598 4.8598 60.00 60.00 60.00
Site moments in Bohr magnetons follow the coordinates.
Element x y z (fractional)
Li (0.0000, 0.0000, 0.0000)  0.00
Zr (0.2500, 0.2500, 0.2500)  0.82
Sc (0.5000, 0.5000, 0.5000)  0.41
Li (0.7500, 0.7500, 0.7500)  -0.02

***

--- B ---
A PBEsol-optimized structure of Li2ZrSc, computed with SCAN.

Lattice parameters (Å, degrees): 2.8659 4.7641 5.9063 90.00 90.00 90.00
Site moments in Bohr magnetons follow the coordinates.
Element x y z (fractional)
Zr (0.5000, 0.5000, 0.5000)  0.04
Li (0.0000, 0.0000, 0.7457)  0.00
Sc (0.5000, 0.5000, 0.0000)  0.14
Li (0.0000, 0.0000, 0.2543)  0.00

***

--- C ---
A PBEsol-optimized structure of Li2ZrSc, computed with SCAN.

Lattice parameters (Å, degrees): 2.9179 4.6953 6.1079 90.00 103.83 90.00
Site moments in Bohr magnetons follow the coordinates.
Element x y z (fractional)
Sc (0.9380, 0.0000, 0.5006)  -0.05
Li (0.3420, 0.5000, 0.2484)  -0.01
Zr (0.5577, 0.5000, 0.7529)  -0.05
Li (0.1623, 0.0000, 0.9980)  0.00

***

Which structure loses on stability? A does.

***

--- A ---
A PBEsol-optimized structure of Li2ZrSc, computed with SCAN.

Lattice parameters (Å, degrees): 2.8768 5.3043 5.4630 90.00 95.33 90.00
Element x y z (fractional)
Zr (0.0000, 0.5000, 0.5000)
Sc (0.5000, 0.5000, 0.0000)
Li (0.2812, 0.0000, 0.2554)
Li (0.7188, 0.0000, 0.7446)

***

--- B ---
A PBEsol-optimized structure of Li2ZrSc, computed with SCAN.

Lattice parameters (Å, degrees): 3.0588 3.0588 9.1761 90.00 90.00 90.01
Site moments in Bohr magnetons follow the coordinates.
Element x y z (fractional)
Li (0.5000, 0.5000, 0.7587)  0.00
Sc (0.0000, 0.0000, 0.4907)  0.12
Zr (0.5000, 0.5000, 0.2565)  0.01
Li (0.0000, 0.0000, 0.9941)  0.01

***

Which structure loses on stability? A does.

***

--- A ---
A PBEsol-optimized structure of LiWSe2, computed with SCAN.

Lattice parameters (Å, degrees): 3.1258 3.1258 6.6942 90.00 90.00 90.00
Element x y z (fractional)
W (0.5000, 0.5000, 0.0000)
Se (0.0000, 0.0000, 0.2265)
Se (0.0000, 0.0000, 0.7735)
Li (0.5000, 0.5000, 0.5000)

***

--- B ---
A PBEsol-optimized structure of LiWSe2, computed with SCAN.

Lattice parameters (Å, degrees): 3.6430 3.6430 5.5361 109.21 109.21 90.00
Site moments in Bohr magnetons follow the coordinates.
Element x y z (fractional)
Se (0.7500, 0.2500, 0.5000)  -0.06
W (0.5000, 0.5000, 0.0000)  1.76
Li (0.2500, 0.7500, 0.5000)  0.01
Se (0.0000, 0.0000, 0.0000)  -0.07

***

--- C ---
A PBEsol-optimized structure of LiWSe2, computed with SCAN.

Lattice parameters (Å, degrees): 3.3056 3.3056 6.5627 90.00 90.00 90.00
Element x y z (fractional)
W (0.0000, 0.0000, 0.5100)
Se (0.5000, 0.5000, 0.3373)
Se (0.0000, 0.0000, 0.8787)
Li (0.5000, 0.5000, 0.7740)

***

Which structure loses on stability? B does.

***

--- A ---
A PBEsol-optimized structure of Li2SiTe, computed with SCAN.

Lattice parameters (Å, degrees): 3.0817 4.0461 5.9121 90.00 93.89 90.00
Element x y z (fractional)
Te (0.5000, 0.5000, 0.5000)
Si (0.5000, 0.5000, 0.0000)
Li (0.0003, 0.0000, 0.2231)
Li (0.9997, 0.0000, 0.7769)

***

--- B ---
A PBEsol-optimized structure of Li2SiTe, computed with SCAN.

Lattice parameters (Å, degrees): 3.9024 4.4474 5.1417 115.63 112.30 90.00
Element x y z (fractional)
Li (0.2546, 0.2546, 0.5093)
Te (0.5000, 0.0000, 0.0000)
Si (0.0000, 0.5000, 0.0000)
Li (0.7454, 0.7454, 0.4907)

***

--- C ---
A PBEsol-optimized structure of Li2SiTe, computed with SCAN.

Lattice parameters (Å, degrees): 3.0496 4.7723 6.0390 116.83 104.62 90.00
Element x y z (fractional)
Si (0.5078, 0.6347, 0.0155)
Te (0.7395, 0.6141, 0.4790)
Li (0.9989, 0.1274, 0.9977)
Li (0.2539, 0.1238, 0.5078)

***

Which structure loses on stability? C does.

***

--- A ---
A PBEsol-optimized structure of Li2SiTe, computed with SCAN.

Lattice parameters (Å, degrees): 3.0160 3.0160 8.3409 90.00 90.00 90.00
Element x y z (fractional)
Li (0.0000, 0.0000, 0.7853)
Si (0.5000, 0.5000, 0.0000)
Li (0.0000, 0.0000, 0.2147)
Te (0.5000, 0.5000, 0.5000)

***

--- B ---
A PBEsol-optimized structure of Li2SiTe, computed with SCAN.

Lattice parameters (Å, degrees): 3.0496 5.0608 5.0608 107.59 90.18 90.18
Element x y z (fractional)
Si (0.5000, 0.5000, 0.5000)
Li (0.0000, 0.0000, 0.5000)
Te (0.5000, 0.0000, 0.0000)
Li (0.0000, 0.5000, 0.0000)

***

--- C ---
A PBEsol-optimized structure of Li2SiTe, computed with SCAN.

Lattice parameters (Å, degrees): 3.9302 3.9302 5.5119 110.89 110.89 90.00
Element x y z (fractional)
Li (0.0000, 0.0000, 0.0000)
Li (0.2500, 0.7500, 0.5000)
Te (0.7500, 0.2500, 0.5000)
Si (0.5000, 0.5000, 0.0000)

***

Which structure loses on stability? C does.